First-principles (GGA-PBE) data for Cr7C3 after structural relaxation, as listed in Alexandria via LeMat-Bulk.

Cell: 13.901 13.901 4.496 Å, 90.00 90.00 120.00°
Positions (direct):
Cr1 0.624 0.062 0.946
Cr2 0.546 0.273 0.747
Cr3 0.729 0.773 0.758
C1 0.312 0.905 0.034
Cr4 0.167 0.833 0.261
C2 0.594 0.406 0.033
C3 0.688 0.593 0.534
Cr5 0.227 0.773 0.748
Cr6 0.438 0.562 0.944
Cr7 0.562 0.938 0.446
Cr8 0.877 0.438 0.444
Cr9 0.123 0.562 0.944
Cr10 0.727 0.273 0.747
Cr11 0.773 0.545 0.248
Cr12 0.376 0.438 0.446
C4 0.406 0.811 0.533
Cr13 0.167 0.333 0.261
Cr14 0.455 0.227 0.248
Cr15 0.956 0.227 0.258
Cr16 0.877 0.939 0.063
Cr17 0.624 0.562 0.946
C5 0.905 0.312 0.534
Cr18 0.939 0.061 0.563
Cr19 0.938 0.376 0.946
Cr20 0.727 0.454 0.747
Cr21 0.956 0.729 0.258
Cr22 0.271 0.227 0.258
C6 0.593 0.688 0.034
C7 0.095 0.407 0.034
Cr23 0.044 0.773 0.758
Cr24 0.562 0.438 0.444
Cr25 0.062 0.438 0.446
Cr26 0.227 0.455 0.748
Cr27 0.438 0.062 0.946
Cr28 0.271 0.044 0.258
Cr29 0.376 0.938 0.446
Cr30 0.667 0.333 0.273
Cr31 0.044 0.271 0.758
C8 0.905 0.593 0.534
Cr32 0.227 0.271 0.758
C9 0.906 0.812 0.970
Cr33 0.273 0.727 0.247
Cr34 0.545 0.773 0.748
Cr35 0.438 0.376 0.946
Cr36 0.667 0.833 0.261
C10 0.094 0.188 0.470
Cr37 0.833 0.167 0.761
Cr38 0.123 0.061 0.563
C11 0.906 0.094 0.970
Cr39 0.939 0.877 0.563
C12 0.811 0.406 0.033
Cr40 0.833 0.667 0.761
Cr41 0.773 0.044 0.258
C13 0.812 0.906 0.470
Cr42 0.333 0.667 0.773
Cr43 0.061 0.939 0.063
Cr44 0.273 0.546 0.247
C14 0.189 0.594 0.533
C15 0.407 0.095 0.534
Cr45 0.062 0.624 0.446
Cr46 0.227 0.956 0.758
Cr47 0.061 0.123 0.063
Cr48 0.454 0.727 0.247
Cr49 0.562 0.624 0.446
Cr50 0.729 0.956 0.758
C16 0.188 0.094 0.970
C17 0.407 0.312 0.534
C18 0.688 0.095 0.534
Cr51 0.773 0.729 0.258
Cr52 0.938 0.562 0.946
C19 0.095 0.688 0.034
Cr53 0.773 0.227 0.248
C20 0.594 0.189 0.033
C21 0.094 0.906 0.470
Cr54 0.562 0.123 0.444
Cr55 0.333 0.167 0.761
C22 0.593 0.905 0.034
C23 0.312 0.407 0.034
C24 0.406 0.594 0.533
Cr56 0.438 0.877 0.944

Calculated values
The calculation puts the energy of formation at -116 kJ/mol of formula units. As for the density of states at the Fermi level: 69.0 states/eV per cell.

***

First-principles (GGA-PBE) data for Mg2AlCr after structural relaxation, as listed in Alexandria via LeMat-Bulk.

Cell: 3.032 5.184 5.510 Å, 116.22 105.89 90.06°
Positions (direct):
Al1 0.149 0.098 0.981
Mg1 0.903 0.506 0.489
Cr1 0.419 0.029 0.521
Mg2 0.667 0.626 0.017

Calculated values
The calculation puts the energy of formation at 84 kJ/mol of formula units. As for the density of states at the Fermi level: 2.5 states/eV per cell.

***

First-principles (GGA-PBE) data for MgTe4Au after structural relaxation, as listed in Alexandria via LeMat-Bulk.

Cell: 6.321 6.321 6.321 Å, 60.00 60.00 60.00°
Positions (direct):
Te1 0.376 0.376 0.376
Te2 0.376 0.376 0.872
Te3 0.376 0.872 0.376
Mg1 0.000 0.000 0.000
Te4 0.872 0.376 0.376
Au1 0.750 0.750 0.750

Calculated values
As for the density of states at the Fermi level: 6.1 states/eV per cell. Its raw formation energy is 436.9 meV/atom.

***

First-principles (GGA-PBE) data for LiRhW2 after structural relaxation, as listed in Alexandria via LeMat-Bulk.

Cell: 4.996 4.996 4.996 Å, 136.43 136.43 63.32°
Positions (direct):
Li1 0.250 0.750 0.500
Rh1 0.750 0.250 0.500
W1 0.500 0.500 0.000
W2 0.000 0.000 0.000

Calculated values
The calculation puts the energy of formation at 95 kJ/mol of formula units. As for the density of states at the Fermi level: 3.5 states/eV per cell.